No. 1
This record from Alexandria describes a relaxed Dy4OsBr5 crystal. The functional is PBE.

Cell lengths 4.009, 8.656, 9.515 Å; angles 103.00, 102.16, 90.00 degrees
Fractional positions:
Br1 0.823 0.152 0.646
Br2 0.169 0.329 0.338
Br3 0.831 0.671 0.662
Br4 0.500 0.500 0.000
Br5 0.177 0.848 0.354
Dy1 0.002 0.217 0.004
Dy2 0.646 0.078 0.292
Dy3 0.354 0.922 0.708
Dy4 0.998 0.783 0.996
Os1 0.500 0.000 0.000

Calculated values
Magnetic moment in μB/f.u.: 0.10
ΔE_f (raw) in eV/atom: -1.3178

***

No. 2
This record from Alexandria describes a relaxed LaBeAu2 crystal. The functional is PBE.

Cell lengths 3.429, 3.434, 6.911 Å; angles 90.00, 90.00, 90.00 degrees
Fractional positions:
Be1 0.000 0.000 0.401
La1 0.500 0.500 0.751
Au1 0.500 0.500 0.305
Au2 0.000 0.000 0.042

Calculated values
Magnetic moment in μB/f.u.: 0.00
E_form in eV per atom: -0.2606

***

No. 3
This record from Alexandria describes a relaxed TcGeSN2 crystal. The functional is PBE.

Cell lengths 3.846, 3.846, 5.101 Å; angles 90.00, 90.00, 90.00 degrees
Fractional positions:
S1 0.000 0.000 0.500
N1 0.000 0.500 0.000
N2 0.500 0.000 0.000
Tc1 0.000 0.000 0.000
Ge1 0.500 0.500 0.500

Calculated values
Magnetic moment in μB/f.u.: 0.00
ΔE to the lowest computed polymorph in meV/atom: 0
ΔE_f (raw) in eV/atom: 0.5339

***

No. 4
This record from Alexandria describes a relaxed Y2AgBi4 crystal. The functional is PBE.

Cell lengths 4.595, 4.595, 9.734 Å; angles 90.00, 90.00, 90.00 degrees
Fractional positions:
Y1 0.000 0.500 0.238
Y2 0.500 0.000 0.762
Bi1 0.500 0.500 0.500
Bi2 0.000 0.500 0.828
Bi3 0.000 0.000 0.500
Bi4 0.500 0.000 0.172
Ag1 0.500 0.500 0.000

Calculated values
Magnetic moment in μB/f.u.: 0.00
E_form in eV per atom: -0.4603

***

No. 5
This record from Alexandria describes a relaxed CeEr3Ir4 crystal. The functional is PBE.

Cell lengths 3.294, 4.941, 9.867 Å; angles 90.00, 90.00, 90.00 degrees
Site moments in Bohr magnetons follow the coordinates.
Fractional positions:
Ir1 0.000 0.000 0.000  0.00
Ir2 0.000 0.500 0.750  0.00
Ir3 0.000 0.500 0.250  0.00
Ir4 0.000 0.000 0.500  0.00
Er1 0.500 0.000 0.255  0.00
Er2 0.500 0.000 0.745  0.00
Er3 0.500 0.500 0.500  0.00
Ce1 0.500 0.500 0.000  0.06

Calculated values
Magnetic moment in μB/f.u.: 0.07
E_form in eV per atom: -0.8206

***

No. 6
This record from Alexandria describes a relaxed CaAl2H8 crystal. The functional is PBE.

Cell lengths 6.354, 6.058, 8.483 Å; angles 100.83, 68.00, 58.37 degrees
Fractional positions:
H1 0.947 0.403 0.342
H2 0.656 0.749 0.949
H3 0.182 0.887 0.156
H4 0.818 0.113 0.844
H5 0.355 0.751 0.551
H6 0.775 0.387 0.656
H7 0.120 0.599 0.907
H8 0.691 0.097 0.158
H9 0.053 0.597 0.658
H10 0.344 0.251 0.051
H11 0.309 0.903 0.842
H12 0.627 0.901 0.593
H13 0.880 0.401 0.093
H14 0.645 0.249 0.449
H15 0.225 0.613 0.344
H16 0.373 0.099 0.407
Al1 0.636 0.611 0.578
Al2 0.825 0.889 0.922
Al3 0.364 0.389 0.422
Al4 0.175 0.111 0.078
Ca1 0.091 0.250 0.750
Ca2 0.909 0.750 0.250

Calculated values
Magnetic moment in μB/f.u.: 0.00
ΔE to the lowest computed polymorph in meV/atom: 38

***

No. 7
This record from Alexandria describes a relaxed Pr2Co2Cl crystal. The functional is PBE.

Cell lengths 3.961, 3.961, 8.563 Å; angles 90.02, 103.34, 120.04 degrees
Site moments in Bohr magnetons follow the coordinates.
Fractional positions:
Pr1 0.153 0.577 0.730  -0.03
Pr2 0.847 0.423 0.270  -0.03
Co1 0.666 0.833 0.499  0.18
Co2 0.334 0.167 0.501  0.18
Cl1 0.000 0.000 0.000  0.00

Calculated values
Magnetic moment in μB/f.u.: 0.26
ΔE_f (raw) in eV/atom: -0.7634

***

No. 8
This record from Alexandria describes a relaxed NdZnCu2Ni crystal. The functional is PBE.

Cell lengths 3.886, 3.917, 6.188 Å; angles 108.45, 108.30, 90.00 degrees
Fractional positions:
Nd1 0.436 0.436 0.871
Zn1 0.194 0.694 0.389
Cu1 0.053 0.053 0.106
Cu2 0.696 0.196 0.392
Ni1 0.833 0.833 0.666

Calculated values
Magnetic moment in μB/f.u.: 0.00
E_form in eV per atom: -0.2195

***

No. 9
This record from Alexandria describes a relaxed KBa2W crystal. The functional is PBE.

Cell lengths 5.537, 3.358, 9.117 Å; angles 89.79, 90.00, 90.00 degrees
Site moments in Bohr magnetons follow the coordinates.
Fractional positions:
Ba1 0.500 0.127 0.183  -0.01
Ba2 0.000 0.128 0.928  0.00
K1 0.000 0.617 0.537  0.00
W1 0.500 0.629 0.851  0.12

Calculated values
Magnetic moment in μB/f.u.: 0.12
ΔE to the lowest computed polymorph in meV/atom: 298
E_form in eV per atom: 1.2947

***

No. 10
This record from Alexandria describes a relaxed MnZnIr2 crystal. The functional is PBE.

Cell lengths 4.565, 4.565, 4.759 Å; angles 79.46, 79.46, 35.44 degrees
Site moments in Bohr magnetons follow the coordinates.
Fractional positions:
Zn1 0.250 0.250 0.250  -0.01
Ir1 0.497 0.497 0.502  0.11
Ir2 0.003 0.003 0.998  0.11
Mn1 0.750 0.750 0.750  3.21

Calculated values
Magnetic moment in μB/f.u.: 3.56
E_form in eV per atom: -0.1470

***

No. 11
This record from Alexandria describes a relaxed SiHgMo2 crystal. The functional is PBE.

Cell lengths 3.045, 3.045, 7.050 Å; angles 90.00, 90.00, 90.00 degrees
Fractional positions:
Mo1 0.000 0.000 0.052
Mo2 0.000 0.000 0.448
Hg1 0.500 0.500 0.750
Si1 0.500 0.500 0.250

Calculated values
Magnetic moment in μB/f.u.: 0.00
ΔE to the lowest computed polymorph in meV/atom: 0
ΔE_f (raw) in eV/atom: 0.1725

***

No. 12
This record from Alexandria describes a relaxed Cs3U2Te6Au crystal. The functional is PBE.

Cell lengths 8.261, 8.261, 9.061 Å; angles 97.14, 97.14, 124.54 degrees
Site moments in Bohr magnetons follow the coordinates.
Fractional positions:
Te1 0.254 0.254 0.843  -0.06
Te2 0.942 0.563 0.797  -0.08
Te3 0.746 0.746 0.157  -0.06
Te4 0.437 0.058 0.203  -0.08
Te5 0.563 0.942 0.797  -0.08
Te6 0.058 0.437 0.203  -0.08
Cs1 0.149 0.851 0.500  -0.01
Cs2 0.500 0.500 0.500  0.00
Cs3 0.851 0.149 0.500  -0.01
U1 0.332 0.668 0.000  2.26
U2 0.668 0.332 0.000  2.26
Au1 0.000 0.000 0.000  -0.02

Calculated values
Magnetic moment in μB/f.u.: 4.00
ΔE_f (raw) in eV/atom: -0.7165